VASP calculation (PBE) on Ce3Sm2S8 after structural relaxation.

* formation energy without anion corrections: -1.86 eV/atom
* space-group type: Cmmm
* ΔE to the lowest computed polymorph: 1.101 kcal/mol of atoms

Unit cell a=8.3833 b=8.3833 c=4.7471 alpha=90.00 beta=90.00 gamma=108.99
Positions (direct):
Ce (0.0000, 0.0000, 0.0000)
Ce (0.2778, 0.2778, 0.5000)
Ce (0.7222, 0.7222, 0.5000)
Sm (0.2696, 0.7304, 0.0000)
Sm (0.7304, 0.2696, 0.0000)
S (0.1165, 0.3627, 0.0000)
S (0.1166, 0.8834, 0.5000)
S (0.3627, 0.1165, 0.0000)
S (0.3734, 0.6266, 0.5000)
S (0.6266, 0.3734, 0.5000)
S (0.6373, 0.8835, 0.0000)
S (0.8834, 0.1166, 0.5000)
S (0.8835, 0.6373, 0.0000)